Entry 1:
# Ta2CrCu

A relaxed structure of Ta2CrCu (PBE-GGA, Alexandria via LeMat-Bulk).

The calculated formation energy is 0.66 eV per atom. The value obtained for the total DFT energy (no corrections) is -8.6922 eV/atom. As for the space-group type: I-42d (122).

Cell lengths 6.9251, 6.9251, 5.5848 Å; angles 51.68, 51.68, 90.00 degrees
Last column: nearest neighbours and their distance in Å.
Atoms (fractional coordinates):
1 Cr 0.5000 0.5000 0.0000  4 Ta 2.52, 2 Cu 2.69
2 Cr 0.2500 0.7500 0.5000  4 Ta 2.52, 2 Cu 2.69
3 Cu 0.0000 0.0000 0.0000  4 Ta 2.56, 2 Cr 2.69
4 Cu 0.7500 0.2500 0.5000  4 Ta 2.56, 2 Cr 2.69
5 Ta 0.6209 0.1250 0.2500  2 Cr 2.52, 2 Cu 2.56, 2 Ta 2.69
6 Ta 0.1291 0.6250 0.2500  2 Cr 2.52, 2 Cu 2.56, 2 Ta 2.69
7 Ta 0.3750 0.3791 0.7500  2 Cr 2.52, 2 Cu 2.56, 2 Ta 2.69
8 Ta 0.8750 0.8709 0.7500  2 Cr 2.52, 2 Cu 2.56, 2 Ta 2.69

Entry 2:
# TeRhCl2

A relaxed structure of TeRhCl2 (PBE-GGA, Alexandria via LeMat-Bulk).

The value obtained for the total DFT energy (no corrections) is -3.9340 eV/atom. As for the space-group type: R3m (160). As for the energy above the lowest structure with this stoichiometry: 0.093 eV/f.u.

Cell lengths 8.3252, 8.3252, 8.3252 Å; angles 26.16, 26.16, 26.16 degrees
Last column: nearest neighbours and their distance in Å.
Atoms (fractional coordinates):
1 Te 0.7704 0.7704 0.7704  3 Rh 2.56
2 Rh 0.4929 0.4929 0.4929  3 Te 2.56, 3 Cl 2.59
3 Cl 0.0188 0.0188 0.0188  3 Te 2.99
4 Cl 0.2178 0.2178 0.2178  3 Rh 2.59

| no. | total magnetization (μB per cell) |
| --- | --- |
| 1 | 0.0 |
| 2 | 0.0 |